Crystalline GdMn4Nb at its relaxed geometry. Source: Alexandria via LeMat-Bulk, functional PBE.

Unit cell a=4.9915 b=4.9915 c=4.9915 alpha=60.00 beta=60.00 gamma=60.00
Last column: magnetic moment on the atom in μB.
Positions (direct):
Gd (0.0000, 0.0000, 0.0000)  -7.12
Mn (0.6243, 0.6243, 0.1270)  1.06
Mn (0.6243, 0.1270, 0.6243)  1.06
Mn (0.6243, 0.6243, 0.6243)  1.06
Mn (0.1270, 0.6243, 0.6243)  1.06
Nb (0.2500, 0.2500, 0.2500)  -0.55

Results
Total energy, eV per atom: -10.051
N(E_F), states/eV per cell: 6.2
ρ, g/cm³: 8.9
SG: No. 216
Calculated formation energy, eV per formula unit: 0.520

***

Crystalline Nd2ThAs3Rh12 at its relaxed geometry. Source: Alexandria via LeMat-Bulk, functional PBE.

Unit cell a=6.8677 b=6.8677 c=6.8677 alpha=84.06 beta=84.06 gamma=84.06
Positions (direct):
Rh (0.8140, 0.8140, 0.3222)
Rh (0.6231, 0.6231, 0.0987)
Rh (0.6231, 0.0987, 0.6231)
Rh (0.3769, 0.9013, 0.3769)
Rh (0.8140, 0.3222, 0.8140)
Rh (0.1860, 0.6778, 0.1860)
Rh (0.3222, 0.8140, 0.8140)
Rh (0.0987, 0.6231, 0.6231)
Rh (0.1860, 0.1860, 0.6778)
Rh (0.9013, 0.3769, 0.3769)
Rh (0.6778, 0.1860, 0.1860)
Rh (0.3769, 0.3769, 0.9013)
Nd (0.3583, 0.3583, 0.3583)
Nd (0.6417, 0.6417, 0.6417)
As (0.0000, 0.5000, 0.0000)
As (0.0000, 0.0000, 0.5000)
As (0.5000, 0.0000, 0.0000)
Th (0.0000, 0.0000, 0.0000)

Results
Total energy, eV per atom: -6.941
N(E_F), states/eV per cell: 17.5
ρ, g/cm³: 10.3
SG: No. 166
Calculated formation energy, eV per formula unit: -5.813

***

Crystalline ZnAsCl2 at its relaxed geometry. Source: Alexandria via LeMat-Bulk, functional PBE.

Unit cell a=7.2602 b=7.2602 c=6.9268 alpha=58.39 beta=58.39 gamma=90.00
Last column: magnetic moment on the atom in μB.
Positions (direct):
As (0.0000, 0.0000, 0.0000)  1.24
As (0.7500, 0.2500, 0.5000)  1.24
Cl (0.3750, 0.5093, 0.7500)  0.05
Cl (0.8750, 0.7407, 0.7500)  0.06
Cl (0.4907, 0.1250, 0.2500)  0.05
Cl (0.2593, 0.6250, 0.2500)  0.06
Zn (0.2500, 0.7500, 0.5000)  0.01
Zn (0.5000, 0.5000, 0.0000)  0.01

Results
Total energy, eV per atom: -2.439
N(E_F), states/eV per cell: 0.0
Excess energy over the best structure of this formula in the dataset, meV/atom: 391
ρ, g/cm³: 2.9
Formation energy from raw total energies, eV per atom: -0.04
SG: No. 122

***

Crystalline Ce2Ge6RuRh at its relaxed geometry. Source: Alexandria via LeMat-Bulk, functional PBE.

Unit cell a=6.5544 b=7.0267 c=8.8800 alpha=90.00 beta=90.00 gamma=90.00
Last column: magnetic moment on the atom in μB.
Positions (direct):
Ge (0.3127, 0.0777, 0.0000)  -0.01
Ge (0.1897, 0.5811, 0.0000)  -0.01
Ge (0.3103, 0.4189, 0.5000)  -0.01
Ge (0.0000, 0.7420, 0.2463)  -0.01
Ge (0.6873, 0.0777, 0.0000)  -0.01
Ge (0.8127, 0.9223, 0.5000)  -0.01
Ge (0.6897, 0.4189, 0.5000)  -0.01
Ge (0.1873, 0.9223, 0.5000)  -0.01
Ge (0.8103, 0.5811, 0.0000)  -0.01
Ge (0.5000, 0.2580, 0.2537)  -0.01
Ge (0.5000, 0.2580, 0.7463)  -0.01
Ge (0.0000, 0.7420, 0.7537)  -0.01
Ce (0.5000, 0.7521, 0.7499)  0.62
Ce (0.0000, 0.2479, 0.7501)  0.62
Ce (0.0000, 0.2479, 0.2499)  0.62
Ce (0.5000, 0.7521, 0.2501)  0.62
Ru (0.0000, 0.9104, 0.0000)  -0.04
Ru (0.5000, 0.0896, 0.5000)  -0.04
Rh (0.0000, 0.5971, 0.5000)  -0.03
Rh (0.5000, 0.4029, 0.0000)  -0.03

Results
Total energy, eV per atom: -6.040
N(E_F), states/eV per cell: 26.0
ρ, g/cm³: 7.5
SG: No. 59
Calculated formation energy, eV per formula unit: -4.202

***

Crystalline BaLiAu2F8 at its relaxed geometry. Source: Alexandria via LeMat-Bulk, functional PBE.

Unit cell a=5.4330 b=5.4330 c=6.8138 alpha=90.00 beta=90.00 gamma=120.00
Last column: magnetic moment on the atom in μB.
Positions (direct):
F (0.9243, 0.2545, 0.6651)  0.14
F (0.6667, 0.3333, 0.0729)  0.22
F (0.0757, 0.7455, 0.3349)  0.14
F (0.3333, 0.6667, 0.9271)  0.22
F (0.6698, 0.9243, 0.3349)  0.14
F (0.3302, 0.0757, 0.6651)  0.14
F (0.2545, 0.3302, 0.3349)  0.14
F (0.7455, 0.6698, 0.6651)  0.14
Au (0.3333, 0.6667, 0.6196)  0.81
Au (0.6667, 0.3333, 0.3804)  0.81
Li (0.0000, 0.0000, 0.5000)  0.00
Ba (0.0000, 0.0000, 0.0000)  0.00

Results
Total energy, eV per atom: -3.881
N(E_F), states/eV per cell: 13.4
ρ, g/cm³: 6.6
Formation energy from raw total energies, eV per atom: -1.77
SG: No. 147

***

Crystalline TaWC2 at its relaxed geometry. Source: Alexandria via LeMat-Bulk, functional PBE.

Unit cell a=7.5971 b=7.5971 c=7.5971 alpha=24.79 beta=24.79 gamma=24.79
Positions (direct):
C (0.2162, 0.2162, 0.2162)
C (0.0356, 0.0356, 0.0356)
W (0.7311, 0.7311, 0.7311)
Ta (0.5171, 0.5171, 0.5171)

Results
Total energy, eV per atom: -9.963
N(E_F), states/eV per cell: 2.8
Excess energy over the best structure of this formula in the dataset, meV/atom: 1008
ρ, g/cm³: 9.5
SG: No. 160
Calculated formation energy, eV per formula unit: 3.403

***

Crystalline Tl2SiF5 at its relaxed geometry. Source: Alexandria via LeMat-Bulk, functional PBE.

Unit cell a=6.3361 b=6.0919 c=6.0930 alpha=113.57 beta=77.38 gamma=77.39
Positions (direct):
Tl (0.5455, 0.6010, 0.0616)
Tl (0.5457, 0.0615, 0.6010)
F (0.7098, 0.2091, 0.2091)
F (0.0281, 0.2561, 0.9724)
F (0.2630, 0.8368, 0.8367)
F (0.8943, 0.8210, 0.8211)
F (0.0282, 0.9725, 0.2561)
Si (0.9854, 0.0189, 0.0189)

Results
Total energy, eV per atom: -4.801
N(E_F), states/eV per cell: 2.4
Excess energy over the best structure of this formula in the dataset, meV/atom: 0
ρ, g/cm³: 4.5
Formation energy from raw total energies, eV per atom: -2.36
SG: No. 8

***

Crystalline DyYAl6 at its relaxed geometry. Source: Alexandria via LeMat-Bulk, functional PBE.

Unit cell a=5.5095 b=5.5095 c=5.5095 alpha=90.00 beta=90.00 gamma=90.00
Positions (direct):
Dy (0.0000, 0.0000, 0.0000)
Al (0.7502, 0.0000, 0.5000)
Al (0.5000, 0.7502, 0.0000)
Al (0.5000, 0.2498, 0.0000)
Al (0.2498, 0.0000, 0.5000)
Al (0.0000, 0.5000, 0.7502)
Al (0.0000, 0.5000, 0.2498)
Y (0.5000, 0.5000, 0.5000)

Results
Total energy, eV per atom: -4.280
N(E_F), states/eV per cell: 5.6
Excess energy over the best structure of this formula in the dataset, meV/atom: 346
ρ, g/cm³: 4.1
SG: No. 200
Calculated formation energy, eV per formula unit: -0.715

***

Crystalline BaNaCa2Zn at its relaxed geometry. Source: Alexandria via LeMat-Bulk, functional PBE.

Unit cell a=5.9460 b=5.9460 c=6.3148 alpha=90.00 beta=90.00 gamma=90.00
Positions (direct):
Zn (0.0000, 0.0000, 0.0000)
Ca (0.0000, 0.5000, 0.0000)
Ca (0.5000, 0.0000, 0.0000)
Na (0.5000, 0.5000, 0.5000)
Ba (0.0000, 0.0000, 0.5000)

Results
Total energy, eV per atom: -1.690
N(E_F), states/eV per cell: 4.2
Excess energy over the best structure of this formula in the dataset, meV/atom: 0
ρ, g/cm³: 2.3
SG: No. 123
Calculated formation energy, eV per formula unit: 0.069

***

Crystalline La2Ge3Pd4Pb at its relaxed geometry. Source: Alexandria via LeMat-Bulk, functional PBE.

Unit cell a=4.4306 b=4.4306 c=10.7132 alpha=90.00 beta=90.00 gamma=90.00
Positions (direct):
Pd (0.0000, 0.0000, 0.0000)
Pd (0.0000, 0.5000, 0.3488)
Pd (0.5000, 0.0000, 0.6512)
Pd (0.5000, 0.5000, 0.0000)
La (0.0000, 0.5000, 0.7645)
La (0.5000, 0.0000, 0.2355)
Pb (0.5000, 0.5000, 0.5000)
Ge (0.0000, 0.5000, 0.1195)
Ge (0.0000, 0.0000, 0.5000)
Ge (0.5000, 0.0000, 0.8805)

Results
Total energy, eV per atom: -5.581
N(E_F), states/eV per cell: 5.5
ρ, g/cm³: 8.9
SG: No. 115
Calculated formation energy, eV per formula unit: -7.627

***

Crystalline TbYAlGa at its relaxed geometry. Source: Alexandria via LeMat-Bulk, functional PBE.

Unit cell a=5.0927 b=5.0927 c=5.0927 alpha=60.00 beta=60.00 gamma=60.00
Positions (direct):
Al (0.2500, 0.2500, 0.2500)
Y (0.0000, 0.0000, 0.0000)
Tb (0.5000, 0.5000, 0.5000)
Ga (0.7500, 0.7500, 0.7500)

Results
Total energy, eV per atom: -4.958
N(E_F), states/eV per cell: 1.4
Excess energy over the best structure of this formula in the dataset, meV/atom: 37
ρ, g/cm³: 6.1
SG: No. 216
Calculated formation energy, eV per formula unit: -1.968

***

Crystalline Eu2CdP at its relaxed geometry. Source: Alexandria via LeMat-Bulk, functional PBE.

Unit cell a=4.2577 b=4.2577 c=8.3576 alpha=75.24 beta=75.24 gamma=60.00
Last column: magnetic moment on the atom in μB.
Positions (direct):
Eu (0.2681, 0.2681, 0.1956)  6.82
Eu (0.7319, 0.7319, 0.8044)  6.82
Cd (0.5000, 0.5000, 0.5000)  0.06
P (0.0000, 0.0000, 0.0000)  -0.09

Results
Total energy, eV per atom: -7.441
N(E_F), states/eV per cell: 19.0
Excess energy over the best structure of this formula in the dataset, meV/atom: 3
ρ, g/cm³: 5.9
SG: No. 166
Calculated formation energy, eV per formula unit: -2.891

***

Crystalline KNa2AlZn at its relaxed geometry. Source: Alexandria via LeMat-Bulk, functional PBE.

Unit cell a=5.9449 b=5.9449 c=4.8837 alpha=90.00 beta=90.00 gamma=90.00
Positions (direct):
Na (0.5000, 0.0000, 0.0000)
Na (0.0000, 0.5000, 0.0000)
Zn (0.0000, 0.0000, 0.5000)
K (0.5000, 0.5000, 0.5000)
Al (0.0000, 0.0000, 0.0000)

Results
Total energy, eV per atom: -1.588
N(E_F), states/eV per cell: 1.9
Excess energy over the best structure of this formula in the dataset, meV/atom: 23
ρ, g/cm³: 1.7
SG: No. 123
Calculated formation energy, eV per formula unit: 0.814

***

Crystalline MgAsIr2 at its relaxed geometry. Source: Alexandria via LeMat-Bulk, functional PBE.

Unit cell a=5.4864 b=5.4864 c=5.4864 alpha=148.30 beta=133.31 gamma=57.53
Positions (direct):
As (0.2264, 0.7264, 0.5000)
Ir (0.7632, 0.2632, 0.5000)
Ir (0.0225, 0.0225, 0.0000)
Mg (0.4879, 0.4879, 0.0000)

Results
Total energy, eV per atom: -6.096
N(E_F), states/eV per cell: 2.8
Excess energy over the best structure of this formula in the dataset, meV/atom: 84
ρ, g/cm³: 12.8
SG: No. 44
Calculated formation energy, eV per formula unit: -0.417

***

Crystalline ZnFe2RhC at its relaxed geometry. Source: Alexandria via LeMat-Bulk, functional PBE.

Unit cell a=3.7828 b=3.7828 c=4.0833 alpha=90.00 beta=90.00 gamma=90.00
Last column: magnetic moment on the atom in μB.
Positions (direct):
Rh (0.0000, 0.0000, 0.5000)  0.04
Fe (0.5000, 0.0000, 0.0000)  1.68
Fe (0.0000, 0.5000, 0.0000)  1.68
Zn (0.5000, 0.5000, 0.5000)  -0.05
C (0.0000, 0.0000, 0.0000)  -0.11

Results
Total energy, eV per atom: -6.966
N(E_F), states/eV per cell: 3.1
ρ, g/cm³: 8.3
SG: No. 123
Calculated formation energy, eV per formula unit: -0.058

***

Crystalline TaTi3Os2 at its relaxed geometry. Source: Alexandria via LeMat-Bulk, functional PBE.

Unit cell a=3.0956 b=3.0956 c=9.7981 alpha=90.00 beta=90.00 gamma=90.00
Positions (direct):
Os (0.5000, 0.5000, 0.8413)
Os (0.5000, 0.5000, 0.1587)
Ti (0.0000, 0.0000, 0.3140)
Ti (0.0000, 0.0000, 0.0000)
Ti (0.0000, 0.0000, 0.6860)
Ta (0.5000, 0.5000, 0.5000)

Results
Total energy, eV per atom: -10.134
N(E_F), states/eV per cell: 4.7
ρ, g/cm³: 12.5
SG: No. 123
Calculated formation energy, eV per formula unit: -2.808

***

Crystalline CsSe2I at its relaxed geometry. Source: Alexandria via LeMat-Bulk, functional PBE.

Unit cell a=7.0313 b=7.0313 c=7.0313 alpha=44.63 beta=44.63 gamma=44.63
Positions (direct):
Se (0.1828, 0.1828, 0.1828)
Se (0.8172, 0.8172, 0.8172)
Cs (0.0000, 0.0000, 0.0000)
I (0.5000, 0.5000, 0.5000)

Results
Total energy, eV per atom: -2.565
N(E_F), states/eV per cell: 2.3
Excess energy over the best structure of this formula in the dataset, meV/atom: 2
ρ, g/cm³: 4.4
Formation energy from raw total energies, eV per atom: -0.22
SG: No. 166

***

Crystalline Ba2SrMgZn at its relaxed geometry. Source: Alexandria via LeMat-Bulk, functional PBE.

Unit cell a=6.3550 b=6.3550 c=6.2275 alpha=90.00 beta=90.00 gamma=90.00
Positions (direct):
Sr (0.0000, 0.0000, 0.5000)
Ba (0.0000, 0.5000, 0.0000)
Ba (0.5000, 0.0000, 0.0000)
Mg (0.5000, 0.5000, 0.5000)
Zn (0.0000, 0.0000, 0.0000)

Results
Total energy, eV per atom: -1.564
N(E_F), states/eV per cell: 7.2
Excess energy over the best structure of this formula in the dataset, meV/atom: 93
ρ, g/cm³: 3.0
SG: No. 123
Calculated formation energy, eV per formula unit: 0.576

***

Crystalline TbDy2Y4Sc at its relaxed geometry. Source: Alexandria via LeMat-Bulk, functional PBE.

Unit cell a=4.9845 b=4.9875 c=11.1435 alpha=63.42 beta=90.00 gamma=90.00
Positions (direct):
Sc (0.0000, 0.5000, 0.5000)
Dy (0.0000, 0.0000, 0.0000)
Dy (0.5000, 0.0000, 0.5000)
Y (0.0000, 0.7547, 0.7452)
Y (0.5000, 0.7450, 0.2551)
Y (0.5000, 0.2550, 0.7449)
Y (0.0000, 0.2453, 0.2548)
Tb (0.5000, 0.5000, 0.0000)

Results
Total energy, eV per atom: -5.717
N(E_F), states/eV per cell: 12.4
ρ, g/cm³: 5.9
SG: No. 123
Calculated formation energy, eV per formula unit: 0.285

***

Crystalline BaCo2As at its relaxed geometry. Source: Alexandria via LeMat-Bulk, functional PBE.

Unit cell a=4.0905 b=4.5331 c=5.1695 alpha=83.17 beta=90.00 gamma=90.00
Last column: magnetic moment on the atom in μB.
Positions (direct):
As (0.0000, 0.4924, 0.2937)  0.03
Co (0.5000, 0.2385, 0.2328)  1.44
Co (0.0000, 0.9967, 0.2231)  1.26
Ba (0.5000, 0.7724, 0.7505)  -0.06

Results
Total energy, eV per atom: -5.289
N(E_F), states/eV per cell: 4.3
ρ, g/cm³: 5.8
SG: No. 6
Calculated formation energy, eV per formula unit: -0.372